# PBEsol LiTe2Rh, optimized geometry
data_LiTe2Rh
_cell_length_a 4.087
_cell_length_b 3.699
_cell_length_c 10.009
_cell_angle_alpha 90.00
_cell_angle_beta 90.00
_cell_angle_gamma 90.00
_symmetry_space_group_name_H-M 'A m m 2'
_symmetry_Int_Tables_number 38
loop_
_symmetry_equiv_pos_as_xyz
'x,y,z'
'-x,-y,z'
'-x,y,z'
'x,-y,z'
'x,y+1/2,z+1/2'
'-x,-y+1/2,z+1/2'
'-x,y+1/2,z+1/2'
'x,-y+1/2,z+1/2'
loop_
_atom_site_label
_atom_site_fract_x
_atom_site_fract_y
_atom_site_fract_z
_atom_site_occupancy
Li1 0.000 0.000 0.000 1
Te1 0.000 0.000 0.273 1
Te2 0.500 0.000 0.554 1
Rh1 0.500 0.000 0.831 1
# Total energy: -4.65 eV/atom
# Total magnetic moment: 0.00 μB/f.u.
# Energy relative to the elements, uncorrected: -0.365 eV/atom
# Crystal system: orthorhombic